First-principles (PBE+U) data for a relaxed structure of Na3Nd2CoO6, as listed in Alexandria via LeMat-Bulk.

Lattice parameters (Å, degrees): 5.906 10.247 5.917 90.00 108.26 90.00
Space group C2/m (No. 12)
Asymmetric unit:
1 Na 0.000 0.000 0.000
2 Na 0.000 0.356 0.000
3 Nd 0.000 0.167 0.500
4 Co 0.000 0.500 0.500
5 O 0.213 0.353 0.708
6 O 0.248 0.500 0.285

Results
Calculated total energy in eV per atom: -6.090